*w*
Ho6CdRu2 PBE-GGA relaxed; symmetry = C2/m, No. 12
1.0
-3.354 2.362 2.865
-1.950 -4.172 -3.213
0.296 -7.002 6.118
Ho Ru Cd
6 2 1
direct
0.964 0.928 0.840 Ho
0.281 0.561 0.843 Ho
0.661 0.322 0.616 Ho
0.036 0.072 0.160 Ho
0.719 0.439 0.157 Ho
0.339 0.678 0.384 Ho
0.611 0.222 0.903 Ru
0.389 0.778 0.097 Ru
0.000 0.000 0.500 Cd

*x*
Ho6CdRu2 PBE-GGA relaxed; symmetry = Immm, No. 71
1.0
-5.800 5.895 -1.689
-2.810 -7.853 -1.297
2.231 -0.038 8.141
Ho Ru Cd
12 4 2
direct
0.314 0.984 0.671 Ho
0.797 0.759 0.556 Ho
0.686 0.016 0.329 Ho
0.686 0.357 0.671 Ho
0.532 0.714 0.817 Ho
0.203 0.241 0.444 Ho
0.203 0.759 0.962 Ho
0.897 0.714 0.183 Ho
0.797 0.241 0.038 Ho
0.314 0.643 0.329 Ho
0.468 0.286 0.183 Ho
0.103 0.286 0.817 Ho
0.500 0.372 0.872 Ru
0.500 0.628 0.128 Ru
0.677 0.000 0.677 Ru
0.323 0.000 0.323 Ru
0.000 0.000 0.000 Cd
0.000 0.500 0.500 Cd

*x* has the most favorable energy; the next structure is 0.121 eV/atom above.

*w*
Ho8CdRu2 PBE-GGA relaxed; symmetry = Imm2, No. 44
1.0
-2.353 3.672 -2.948
-5.187 -4.331 -1.251
-0.022 3.026 8.482
Ho Ru Cd
8 2 1
direct
0.970 0.015 0.577 Ho
0.302 0.347 0.241 Ho
0.137 0.552 0.909 Ho
0.348 0.857 0.332 Ho
0.637 0.277 0.909 Ho
0.925 0.434 0.487 Ho
0.746 0.928 0.129 Ho
0.526 0.707 0.689 Ho
0.464 0.280 0.567 Ru
0.807 0.623 0.251 Ru
0.137 0.979 0.909 Cd

*x*
Ho8CdRu2 PBE-GGA relaxed; symmetry = C2/m, No. 12
1.0
-1.383 5.287 0.041
-6.597 -2.763 -3.149
0.278 -1.049 7.739
Ho Ru Cd
8 2 1
direct
0.080 0.330 0.065 Ho
0.500 0.248 0.752 Ho
0.920 0.670 0.935 Ho
0.080 0.065 0.330 Ho
0.920 0.935 0.670 Ho
0.500 0.752 0.248 Ho
0.699 0.384 0.384 Ho
0.301 0.616 0.616 Ho
0.000 0.687 0.313 Ru
0.000 0.313 0.687 Ru
0.500 0.000 0.000 Cd

*w* has the most favorable energy; the next structure is 0.014 eV/atom above.

*w*
Ho2CdS4 PBE-GGA relaxed; symmetry = Imma, No. 74
1.0
-3.957 4.001 5.717
3.957 -4.001 5.717
3.957 4.001 -5.717
S Cd Ho
8 2 4
direct
0.241 0.761 0.480 S
0.249 0.763 0.014 S
0.751 0.766 0.514 S
0.759 0.239 0.520 S
0.780 0.761 0.020 S
0.220 0.239 0.980 S
0.751 0.237 0.986 S
0.249 0.234 0.486 S
0.000 0.500 0.000 Cd
0.000 0.000 0.500 Cd
0.500 0.000 0.500 Ho
0.616 0.366 0.250 Ho
0.384 0.634 0.750 Ho
0.000 0.000 0.000 Ho

*x*
Ho2CdS4 PBE-GGA relaxed; symmetry = Fd-3m, No. 227
1.0
-0.177 -7.898 0.983
1.340 -4.814 -6.198
6.745 -4.211 -0.384
Ho S Cd
4 8 2
direct
0.625 0.125 0.125 Ho
0.125 0.125 0.625 Ho
0.125 0.125 0.125 Ho
0.125 0.625 0.125 Ho
0.883 0.883 0.883 S
0.883 0.883 0.352 S
0.367 0.367 0.898 S
0.898 0.367 0.367 S
0.352 0.883 0.883 S
0.883 0.352 0.883 S
0.367 0.367 0.367 S
0.367 0.898 0.367 S
0.500 0.500 0.500 Cd
0.750 0.750 0.750 Cd

*x* has the most favorable energy; the next structure is 0.142 eV/atom above.

*w*
Ho3CdS PBE-GGA relaxed; symmetry = Pnma, No. 62
1.0
-0.507 -0.084 -3.820
-1.028 -8.974 0.333
-14.552 1.737 1.894
Cd Ho S
4 12 4
direct
0.250 0.935 0.325 Cd
0.250 0.435 0.175 Cd
0.750 0.065 0.675 Cd
0.750 0.565 0.825 Cd
0.250 0.165 0.516 Ho
0.250 0.528 0.390 Ho
0.750 0.972 0.890 Ho
0.250 0.665 0.984 Ho
0.250 0.028 0.110 Ho
0.750 0.710 0.217 Ho
0.750 0.472 0.610 Ho
0.250 0.290 0.783 Ho
0.750 0.210 0.283 Ho
0.250 0.790 0.717 Ho
0.750 0.335 0.016 Ho
0.750 0.835 0.484 Ho
0.750 0.338 0.446 S
0.250 0.662 0.554 S
0.250 0.162 0.946 S
0.750 0.838 0.054 S

*x*
Ho3CdS PBE-GGA relaxed; symmetry = Pm-3m, No. 221
1.0
-0.411 -3.031 4.141
5.080 0.348 0.759
-0.727 4.147 2.963
Cd Ho S
1 3 1
direct
0.500 0.500 0.500 Cd
0.500 0.000 0.000 Ho
0.000 0.000 0.500 Ho
0.000 0.500 0.000 Ho
0.000 0.000 0.000 S

*w* has the most favorable energy; the next structure is 0.147 eV/atom above.

*w*
HoCdSb2 PBE-GGA relaxed; symmetry = P4/mmm, No. 123
1.0
4.125 0.000 0.000
0.000 4.978 0.000
0.000 0.000 4.978
Ho Sb Cd
1 2 1
direct
0.500 0.500 0.500 Ho
0.000 0.500 0.000 Sb
0.000 0.000 0.500 Sb
0.500 0.000 0.000 Cd

*x*
HoCdSb2 PBE-GGA relaxed; symmetry = R-3m, No. 166
1.0
-2.686 3.517 0.257
-3.768 0.086 -2.333
-5.461 -1.709 4.546
Cd Sb Ho
1 2 1
direct
0.000 0.000 0.000 Cd
0.749 0.749 0.754 Sb
0.251 0.251 0.246 Sb
0.500 0.500 0.500 Ho

*w* has the most favorable energy; the next structure is 0.106 eV/atom above.

*w*
Ho3ScCd PBE-GGA relaxed; symmetry = C2/m, No. 12
1.0
3.387 0.000 -0.599
-0.256 7.908 -1.446
0.161 -1.291 10.777
Ho Cd Sc
6 2 2
direct
0.015 0.227 0.030 Ho
0.823 0.555 0.645 Ho
0.985 0.773 0.970 Ho
0.177 0.445 0.355 Ho
0.624 0.044 0.248 Ho
0.376 0.956 0.752 Ho
0.579 0.604 0.159 Cd
0.421 0.396 0.841 Cd
0.733 0.822 0.465 Sc
0.267 0.178 0.535 Sc

*x*
Ho3ScCd PBE-GGA relaxed; symmetry = P2_1/m, No. 11
1.0
0.488 3.242 -1.242
-7.795 -2.836 4.316
4.248 3.074 9.693
Ho Sc Cd
6 2 2
direct
0.394 0.595 0.750 Ho
0.938 0.290 0.992 Ho
0.606 0.405 0.250 Ho
0.938 0.290 0.508 Ho
0.062 0.710 0.492 Ho
0.062 0.710 0.008 Ho
0.438 0.956 0.750 Sc
0.562 0.044 0.250 Sc
0.395 0.262 0.750 Cd
0.605 0.738 0.250 Cd

*w* has the most favorable energy; the next structure is 0.115 eV/atom above.

*w*
HoSc2Cd PBE-GGA relaxed; symmetry = P4/mmm, No. 123
1.0
3.388 0.000 0.000
0.000 3.388 0.000
0.000 0.000 8.715
Cd Sc Ho
1 2 1
direct
0.500 0.500 0.000 Cd
0.000 0.000 0.225 Sc
0.000 0.000 0.775 Sc
0.500 0.500 0.500 Ho

*x*
HoSc2Cd PBE-GGA relaxed; symmetry = Cmcm, No. 63
1.0
-1.234 -4.409 -1.764
6.807 -0.764 -2.856
1.136 -4.627 3.944
Sc Ho Cd
4 2 2
direct
0.638 0.039 0.724 Sc
0.362 0.539 0.276 Sc
0.638 0.461 0.724 Sc
0.362 0.961 0.276 Sc
0.933 0.250 0.135 Ho
0.067 0.750 0.865 Ho
0.201 0.250 0.598 Cd
0.799 0.750 0.402 Cd

*y*
HoSc2Cd PBE-GGA relaxed; symmetry = Fm-3m, No. 225
1.0
5.183 0.000 0.000
2.591 4.488 0.000
2.591 1.496 4.232
Sc Ho Cd
2 1 1
direct
0.750 0.750 0.750 Sc
0.250 0.250 0.250 Sc
0.000 0.000 0.000 Ho
0.500 0.500 0.500 Cd

*z*
HoSc2Cd PBE-GGA relaxed; symmetry = P4/mmm, No. 123
1.0
-0.364 -4.328 -1.666
1.849 1.380 -3.989
4.205 -0.974 1.612
Sc Cd Ho
2 1 1
direct
0.000 0.000 0.500 Sc
0.000 0.500 0.000 Sc
0.500 0.500 0.500 Cd
0.500 0.000 0.000 Ho

*w* has the most favorable energy; the next structure is 0.022 eV/atom above.

*w*
HoSc2Cd PBE-GGA relaxed; symmetry = R3m, No. 160
1.0
-2.874 -0.110 -1.828
-0.078 -1.700 -2.952
-3.819 -9.107 3.378
Ho Cd Sc
1 1 2
direct
0.500 0.500 0.499 Ho
0.666 0.666 0.001 Cd
0.078 0.078 0.766 Sc
0.256 0.256 0.233 Sc

*x*
HoSc2Cd PBE-GGA relaxed; symmetry = C2/m, No. 12
1.0
3.427 0.000 -1.067
-0.660 4.665 -2.119
0.076 0.012 6.282
Sc Cd Ho
2 1 1
direct
0.226 0.226 0.452 Sc
0.774 0.774 0.548 Sc
0.500 0.000 0.000 Cd
0.000 0.500 0.000 Ho

*x* has the most favorable energy; the next structure is 0.093 eV/atom above.

*w*
Ho2Sc2Cd PBE-GGA relaxed; symmetry = C2/c, No. 15
1.0
-2.674 -2.384 -4.606
1.392 -5.806 2.197
-4.316 -0.609 6.517
Ho Cd Sc
4 2 4
direct
0.695 0.539 0.206 Ho
0.511 0.039 0.206 Ho
0.305 0.461 0.794 Ho
0.489 0.961 0.794 Ho
0.082 0.750 0.000 Cd
0.918 0.250 0.000 Cd
0.718 0.643 0.607 Sc
0.111 0.857 0.393 Sc
0.889 0.143 0.607 Sc
0.282 0.357 0.393 Sc

*x*
Ho2Sc2Cd PBE-GGA relaxed; symmetry = I4_1/amd, No. 141
1.0
4.880 0.000 0.000
0.000 4.880 0.000
-2.440 -2.440 12.056
Ho Sc Cd
4 4 2
direct
0.077 0.577 0.154 Ho
0.327 0.327 0.654 Ho
0.673 0.673 0.346 Ho
0.423 0.923 0.846 Ho
0.924 0.424 0.849 Sc
0.826 0.826 0.651 Sc
0.174 0.174 0.349 Sc
0.576 0.076 0.151 Sc
0.250 0.750 0.500 Cd
0.500 0.500 0.000 Cd

*w* has the most favorable energy; the next structure is 0.154 eV/atom above.

*w*
HoScCd4 PBE-GGA relaxed; symmetry = P2/m, No. 10
1.0
3.246 0.000 -0.662
-0.001 4.923 -0.005
-1.549 0.008 9.022
Cd Sc Ho
4 1 1
direct
0.664 0.497 0.661 Cd
0.830 0.997 0.827 Cd
0.339 0.497 0.335 Cd
0.173 0.997 0.169 Cd
0.002 0.997 0.498 Sc
0.501 0.497 0.998 Ho

*x*
HoScCd4 PBE-GGA relaxed; symmetry = F-43m, No. 216
1.0
5.816 0.000 0.000
2.908 5.037 0.000
2.908 1.679 4.749
Cd Ho Sc
4 1 1
direct
0.125 0.625 0.625 Cd
0.625 0.125 0.625 Cd
0.625 0.625 0.625 Cd
0.625 0.625 0.125 Cd
0.250 0.250 0.250 Ho
0.000 0.000 0.000 Sc

*w* has the most favorable energy; the next structure is 0.072 eV/atom above.

*w*
Ho2ScCd2 PBE-GGA relaxed; symmetry = Immm, No. 71
1.0
-3.393 -0.939 1.604
0.929 -0.654 6.247
-2.026 5.020 3.318
Cd Ho Sc
2 2 1
direct
0.500 0.701 0.299 Cd
0.500 0.299 0.701 Cd
0.778 0.722 0.722 Ho
0.222 0.278 0.278 Ho
0.000 0.000 0.000 Sc

*x*
Ho2ScCd2 PBE-GGA relaxed; symmetry = P2_1/m, No. 11
1.0
-3.615 -0.260 0.078
0.286 -4.656 -2.250
2.493 -5.707 12.127
Ho Cd Sc
4 4 2
direct
0.764 0.250 0.527 Ho
0.236 0.750 0.473 Ho
0.044 0.750 0.088 Ho
0.956 0.250 0.912 Ho
0.558 0.250 0.116 Cd
0.442 0.750 0.884 Cd
0.359 0.250 0.719 Cd
0.641 0.750 0.281 Cd
0.848 0.750 0.697 Sc
0.152 0.250 0.303 Sc

*x* has the most favorable energy; the next structure is 0.125 eV/atom above.